# 1
Rb2AsWI6 | GGA-PBE | optimized geometry

The structure belongs to space group I4/mmm (No. 139); the cell edges are 8.434, 8.434 and 11.638 Å and the angles 90.00°, 90.00° and 90.00°. Symmetry generates all atoms from Rb at (0.000, 0.500, 0.250), As at (0.000, 0.000, 0.000), W at (0.000, 0.000, 0.500), I at (0.000, 0.000, 0.255) and I at (0.238, 0.238, 0.500).

Its formation energy from raw total energies is -3.5 eV per formula unit. The value obtained for the density of states at the Fermi level is 6.4 states/eV/cell.

# 2
PdPtO3 | GGA-PBE | optimized geometry

The structure belongs to space group Pm-3m (No. 221); the cell edges are 3.933, 3.933 and 3.933 Å and the angles 90.00°, 90.00° and 90.00°. Symmetry generates all atoms from Pd at (0.000, 0.000, 0.000), Pt at (0.500, 0.500, 0.500) and O at (0.000, 0.500, 0.500).

Its formation energy from raw total energies is 2.0 eV per formula unit. The value obtained for the density of states at the Fermi level is 11.5 states/eV/cell.

# 3
Li6Mg3Ga | GGA-PBE | optimized geometry

The structure belongs to space group P2_1/m (No. 11); the cell edges are 8.208, 4.703 and 10.082 Å and the angles 90.00°, 105.84° and 90.00°. Symmetry generates all atoms from Li at (0.040, 0.250, 0.389), Li at (0.127, 0.750, 0.173), Li at (0.143, 0.250, 0.696), Li at (0.218, 0.250, 0.987), Li at (0.333, 0.750, 0.798), Li at (0.444, 0.250, 0.604), Mg at (0.252, 0.750, 0.490), Mg at (0.342, 0.250, 0.290), Mg at (0.444, 0.750, 0.092) and Ga at (0.048, 0.750, 0.890).

The energy relative to the lowest polymorph listed for this composition is 0 meV per atom. The value obtained for the density of states at the Fermi level is 5.8 states/eV/cell. The calculated formation energy comes out at -0.1069 eV per atom.

# 4
La7Y2Er3 | GGA-PBE | optimized geometry

The structure belongs to space group P2/m (No. 10); the cell edges are 6.536, 3.575 and 17.757 Å and the angles 90.00°, 95.58° and 90.00°. Symmetry generates all atoms from La at (0.000, 0.000, 0.000), La at (0.228, 0.500, 0.173), La at (0.264, 0.500, 0.491), La at (0.278, 0.000, 0.833), Y at (0.057, 0.500, 0.670), Er at (0.458, 0.000, 0.338) and Er at (0.500, 0.500, 0.000).

The value obtained for the density of states at the Fermi level is 16.7 states/eV/cell. The calculated formation energy comes out at 0.0651 eV per atom.

# 5
Li2Mg2SnPd2 | GGA-PBE | optimized geometry

The structure belongs to space group C2/m (No. 12); the cell edges are 7.922, 4.577 and 7.303 Å and the angles 90.00°, 111.43° and 90.00°. Symmetry generates all atoms from Li at (0.061, 0.000, 0.184), Mg at (0.238, 0.000, 0.715), Sn at (0.000, 0.500, 0.500) and Pd at (0.131, 0.500, 0.893).

The value obtained for the density of states at the Fermi level is 5.1 states/eV/cell. The calculated formation energy comes out at -0.4387 eV per atom.

# 6
GdScTlPt | GGA-PBE | optimized geometry

The structure belongs to space group F-43m (No. 216); the cell edges are 7.137, 7.137 and 7.137 Å and the angles 90.00°, 90.00° and 90.00°. Symmetry generates all atoms from Gd at (0.000, 0.000, 0.000), Sc at (0.000, 0.000, 0.500), Tl at (0.250, 0.250, 0.250) and Pt at (0.250, 0.250, 0.750).

The value obtained for the density of states at the Fermi level is 15.1 states/eV/cell. The calculated formation energy comes out at -0.6394 eV per atom.